Density functional theory data (PBE) for a geometry-optimized LiAlSeN2 structure.

Cell lengths 3.781, 3.781, 5.366 Å; angles 90.00, 90.00, 90.00 degrees
Element x y z (fractional)
Li  0.000  0.000  0.000
Al  0.500  0.500  0.500
Se  0.500  0.500  0.000
N  0.000  0.500  0.500
N  0.500  0.000  0.500

Values from the calculation:
energy above the most stable polymorph in this dataset = 0 meV/atom
uncorrected formation energy = 0.41 eV/atom


Density functional theory data (PBE) for a geometry-optimized Rb2PdICl structure.

Cell lengths 6.938, 6.938, 5.894 Å; angles 90.00, 90.00, 90.00 degrees
Element x y z (fractional)
Rb  0.000  0.500  0.000
Rb  0.500  0.000  0.000
Pd  0.000  0.000  0.500
I  0.500  0.500  0.000
Cl  0.500  0.500  0.500

Values from the calculation:
uncorrected formation energy = -0.15 eV/atom


Density functional theory data (PBE) for a geometry-optimized SmDyTlAg structure.

Cell lengths 5.318, 5.318, 5.318 Å; angles 60.00, 60.00, 60.00 degrees
Element x y z (fractional)
Sm  0.000  0.000  0.000
Dy  0.500  0.500  0.500
Tl  0.250  0.250  0.250
Ag  0.750  0.750  0.750

Values from the calculation:
formation energy = -0.33 eV/atom
energy above the most stable polymorph in this dataset = 3 meV/atom


Density functional theory data (PBE) for a geometry-optimized Ta2Al2Ga structure.

Cell lengths 6.781, 6.781, 3.948 Å; angles 90.00, 90.00, 90.00 degrees
Element x y z (fractional)
Ta  0.146  0.354  0.000
Ta  0.354  0.854  0.000
Ta  0.646  0.146  0.000
Ta  0.854  0.646  0.000
Al  0.151  0.651  0.500
Al  0.349  0.151  0.500
Al  0.651  0.849  0.500
Al  0.849  0.349  0.500
Ga  0.000  0.000  0.000
Ga  0.500  0.500  0.000

Values from the calculation:
formation energy = 0.01 eV/atom
energy above the most stable polymorph in this dataset = 0 meV/atom


Density functional theory data (PBE) for a geometry-optimized TaSi3S structure.

Cell lengths 4.933, 4.933, 4.933 Å; angles 90.00, 90.00, 90.00 degrees
Element x y z (fractional)
Ta  0.000  0.000  0.000
Si  0.000  0.000  0.500
Si  0.000  0.500  0.000
Si  0.500  0.000  0.000
S  0.500  0.500  0.500

Values from the calculation:
energy above the most stable polymorph in this dataset = 37 meV/atom
uncorrected formation energy = 1.00 eV/atom


Density functional theory data (PBE) for a geometry-optimized LaPmAlGa structure.

Cell lengths 4.251, 6.173, 6.173 Å; angles 43.00, 90.00, 90.00 degrees
Element x y z (fractional)
La  0.000  0.000  0.000
Pm  0.500  0.283  0.283
Al  0.000  0.710  0.710
Ga  0.500  0.576  0.576

Values from the calculation:
formation energy = -0.48 eV/atom
energy above the most stable polymorph in this dataset = 0 meV/atom


Density functional theory data (PBE) for a geometry-optimized Y2HfAgOs structure.

Cell lengths 5.198, 5.198, 4.999 Å; angles 90.00, 90.00, 90.00 degrees
Element x y z (fractional)
Y  0.000  0.500  0.000
Y  0.500  0.000  0.000
Hf  0.000  0.000  0.500
Ag  0.500  0.500  0.000
Os  0.500  0.500  0.500

Values from the calculation:
formation energy = 1.14 eV/atom


Density functional theory data (PBE) for a geometry-optimized SrLiP2Cl structure.

Cell lengths 4.345, 4.345, 5.879 Å; angles 90.00, 90.00, 90.00 degrees
Element x y z (fractional)
Sr  0.000  0.000  0.000
Li  0.500  0.500  0.500
P  0.000  0.500  0.500
P  0.500  0.000  0.500
Cl  0.500  0.500  0.000

Values from the calculation:
energy above the most stable polymorph in this dataset = 0 meV/atom
uncorrected formation energy = -0.49 eV/atom


Density functional theory data (PBE) for a geometry-optimized In7Sn2 structure.

Cell lengths 5.908, 5.908, 8.127 Å; angles 90.00, 90.00, 120.00 degrees
Element x y z (fractional)
In  0.000  0.000  0.000
In  0.000  0.334  0.668
In  0.000  0.666  0.332
In  0.334  0.000  0.668
In  0.334  0.334  0.332
In  0.666  0.000  0.332
In  0.666  0.666  0.668
Sn  0.333  0.667  0.000
Sn  0.667  0.333  0.000

Values from the calculation:
formation energy = 0.02 eV/atom


Density functional theory data (PBE) for a geometry-optimized PuMg2Cd2O6 structure.

Cell lengths 5.584, 5.584, 5.770 Å; angles 100.29, 100.29, 118.90 degrees
Element x y z (fractional)
Pu  0.000  0.000  0.000
Mg  0.337  0.663  0.000
Mg  0.663  0.337  0.000
Cd  0.174  0.826  0.500
Cd  0.826  0.174  0.500
O  0.050  0.408  0.214
O  0.260  0.260  0.794
O  0.408  0.050  0.214
O  0.592  0.950  0.786
O  0.740  0.740  0.206
O  0.950  0.592  0.786

Values from the calculation:
uncorrected formation energy = -2.06 eV/atom


Density functional theory data (PBE) for a geometry-optimized Rb4BSe4 structure.

Cell lengths 9.414, 9.414, 7.084 Å; angles 90.00, 90.00, 90.00 degrees
Element x y z (fractional)
Rb  0.022  0.250  0.094
Rb  0.250  0.022  0.594
Rb  0.250  0.478  0.594
Rb  0.478  0.250  0.094
Rb  0.522  0.750  0.906
Rb  0.750  0.522  0.406
Rb  0.750  0.978  0.406
Rb  0.978  0.750  0.906
B  0.250  0.750  0.250
B  0.750  0.250  0.750
Se  0.058  0.750  0.405
Se  0.250  0.558  0.095
Se  0.250  0.942  0.095
Se  0.442  0.750  0.405
Se  0.558  0.250  0.595
Se  0.750  0.058  0.905
Se  0.750  0.442  0.905
Se  0.942  0.250  0.595

Values from the calculation:
uncorrected formation energy = -0.79 eV/atom


Density functional theory data (PBE) for a geometry-optimized NaIrI2O structure.

Cell lengths 5.763, 5.763, 3.784 Å; angles 90.00, 90.00, 90.00 degrees
Element x y z (fractional)
Na  0.000  0.000  0.000
Ir  0.500  0.500  0.500
I  0.000  0.500  0.500
I  0.500  0.000  0.500
O  0.500  0.500  0.000

Values from the calculation:
energy above the most stable polymorph in this dataset = 0 meV/atom
uncorrected formation energy = -0.48 eV/atom


Density functional theory data (PBE) for a geometry-optimized Pu8Ru5Au structure.

Cell lengths 7.339, 7.339, 7.339 Å; angles 108.78, 108.78, 110.86 degrees
Element x y z (fractional)
Pu  0.007  0.605  0.732
Pu  0.243  0.503  0.114
Pu  0.389  0.129  0.886
Pu  0.395  0.127  0.401
Pu  0.497  0.611  0.739
Pu  0.725  0.993  0.599
Pu  0.871  0.757  0.261
Pu  0.873  0.275  0.268
Ru  0.118  0.225  0.622
Ru  0.250  0.750  0.500
Ru  0.504  0.882  0.107
Ru  0.602  0.496  0.378
Ru  0.775  0.398  0.893
Au  0.000  0.000  0.000

Values from the calculation:
formation energy = -0.12 eV/atom


Density functional theory data (PBE) for a geometry-optimized La3Tb6Ho2Sc structure.

Cell lengths 6.197, 6.197, 11.855 Å; angles 95.01, 95.01, 120.03 degrees
Element x y z (fractional)
La  0.000  0.000  0.000
La  0.333  0.667  0.000
La  0.667  0.333  0.000
Tb  0.090  0.420  0.259
Tb  0.249  0.249  0.741
Tb  0.420  0.090  0.259
Tb  0.580  0.910  0.741
Tb  0.751  0.751  0.259
Tb  0.910  0.580  0.741
Ho  0.166  0.834  0.500
Ho  0.834  0.166  0.500
Sc  0.500  0.500  0.500

Values from the calculation:
formation energy = 0.03 eV/atom


Density functional theory data (PBE) for a geometry-optimized LiSmTlGa structure.

Cell lengths 5.085, 5.085, 5.085 Å; angles 60.00, 60.00, 60.00 degrees
Element x y z (fractional)
Li  0.000  0.000  0.000
Sm  0.500  0.500  0.500
Tl  0.750  0.750  0.750
Ga  0.250  0.250  0.250

Values from the calculation:
formation energy = -0.36 eV/atom


Density functional theory data (PBE) for a geometry-optimized RuAuBr structure.

Cell lengths 7.784, 7.439, 3.095 Å; angles 84.60, 72.07, 23.32 degrees
Element x y z (fractional)
Ru  0.000  0.000  0.000
Au  0.341  0.341  0.659
Br  0.635  0.635  0.365

Values from the calculation:
energy above the most stable polymorph in this dataset = 251 meV/atom
uncorrected formation energy = 0.67 eV/atom


Density functional theory data (PBE) for a geometry-optimized Nb6PdRu5 structure.

Cell lengths 7.633, 7.633, 4.248 Å; angles 106.06, 106.06, 55.86 degrees
Element x y z (fractional)
Nb  0.075  0.589  0.332
Nb  0.238  0.762  0.000
Nb  0.411  0.925  0.668
Nb  0.589  0.075  0.332
Nb  0.762  0.238  0.000
Nb  0.925  0.411  0.668
Pd  0.500  0.500  0.500
Ru  0.000  0.000  0.500
Ru  0.174  0.174  0.174
Ru  0.344  0.344  0.843
Ru  0.656  0.656  0.157
Ru  0.826  0.826  0.826

Values from the calculation:
formation energy = -0.19 eV/atom


Density functional theory data (PBE) for a geometry-optimized Pm3Sm4Er8 structure.

Cell lengths 9.275, 9.275, 6.743 Å; angles 111.31, 111.31, 87.51 degrees
Element x y z (fractional)
Pm  0.000  0.000  0.000
Pm  0.000  0.500  0.000
Pm  0.500  0.000  0.000
Sm  0.000  0.500  0.500
Sm  0.500  0.000  0.500
Sm  0.500  0.500  0.000
Sm  0.500  0.500  0.500
Er  0.139  0.861  0.500
Er  0.233  0.233  0.493
Er  0.233  0.233  0.971
Er  0.245  0.755  0.000
Er  0.755  0.245  0.000
Er  0.767  0.767  0.029
Er  0.767  0.767  0.507
Er  0.861  0.139  0.500

Values from the calculation:
formation energy = 0.37 eV/atom


Density functional theory data (PBE) for a geometry-optimized ScBeIn4 structure.

Cell lengths 5.918, 5.918, 5.918 Å; angles 60.00, 60.00, 60.00 degrees
Element x y z (fractional)
Sc  0.000  0.000  0.000
Be  0.750  0.750  0.750
In  0.375  0.375  0.375
In  0.375  0.375  0.874
In  0.375  0.874  0.375
In  0.874  0.375  0.375

Values from the calculation:
formation energy = 0.44 eV/atom


Density functional theory data (PBE) for a geometry-optimized Sc2PRu structure.

Cell lengths 3.349, 3.349, 5.936 Å; angles 90.00, 90.00, 90.00 degrees
Element x y z (fractional)
Sc  0.000  0.000  0.243
Sc  0.000  0.000  0.757
P  0.500  0.500  0.000
Ru  0.500  0.500  0.500

Values from the calculation:
formation energy = -0.85 eV/atom


Density functional theory data (PBE) for a geometry-optimized Rb2Ca2Y structure.

Cell lengths 11.065, 11.065, 4.070 Å; angles 90.00, 90.00, 90.00 degrees
Element x y z (fractional)
Rb  0.122  0.378  0.000
Rb  0.378  0.878  0.000
Rb  0.622  0.122  0.000
Rb  0.878  0.622  0.000
Ca  0.184  0.684  0.500
Ca  0.316  0.184  0.500
Ca  0.684  0.816  0.500
Ca  0.816  0.316  0.500
Y  0.000  0.000  0.000
Y  0.500  0.500  0.000

Values from the calculation:
formation energy = 0.62 eV/atom
energy above the most stable polymorph in this dataset = 0 meV/atom


Density functional theory data (PBE) for a geometry-optimized DyZn6Ga2 structure.

Cell lengths 4.092, 4.092, 9.051 Å; angles 90.00, 90.00, 90.00 degrees
Element x y z (fractional)
Dy  0.000  0.000  0.000
Zn  0.000  0.000  0.500
Zn  0.000  0.500  0.300
Zn  0.000  0.500  0.700
Zn  0.500  0.000  0.300
Zn  0.500  0.000  0.700
Zn  0.500  0.500  0.500
Ga  0.500  0.500  0.134
Ga  0.500  0.500  0.866

Values from the calculation:
formation energy = -0.21 eV/atom


Density functional theory data (PBE) for a geometry-optimized CeGa3Rh2 structure.

Cell lengths 6.169, 6.169, 5.695 Å; angles 90.00, 90.00, 81.57 degrees
Element x y z (fractional)
Ce  0.139  0.861  0.750
Ce  0.861  0.139  0.250
Ga  0.058  0.611  0.250
Ga  0.389  0.942  0.250
Ga  0.485  0.515  0.250
Ga  0.515  0.485  0.750
Ga  0.611  0.058  0.750
Ga  0.942  0.389  0.750
Rh  0.275  0.275  0.000
Rh  0.275  0.275  0.500
Rh  0.725  0.725  0.000
Rh  0.725  0.725  0.500

Values from the calculation:
formation energy = -0.72 eV/atom


Density functional theory data (PBE) for a geometry-optimized Lu2GaFe structure.

Cell lengths 3.353, 3.353, 6.871 Å; angles 90.00, 90.00, 90.00 degrees
Element x y z (fractional)
Lu  0.000  0.000  0.227
Lu  0.000  0.000  0.773
Ga  0.500  0.500  0.500
Fe  0.500  0.500  0.000

Values from the calculation:
formation energy = -0.29 eV/atom
energy above the most stable polymorph in this dataset = 0 meV/atom


Magnetic moment list, top to bottom, in μB per formula unit: 2.8, 0.2, 0.3, 0.0, 2.1, 0.0, 0.0, 0.0, 0.0, 4.0, 1.1, 0.0, 39.3, 0.0, 0.0, 0.1, 0.0, 0.0, 0.0, 0.0, 0.4, 0.0, 0.5, 0.0